(1)
A plane-wave DFT calculation with PBE was carried out for an optimized crystal structure of SrMg3I8.

Its total DFT energy (no corrections) is -2.754 eV/atom. As for the uncorrected formation energy: -114 kJ/mol of atoms.

Unit cell a=8.725 b=8.723 c=9.392 alpha=118.34 beta=90.00 gamma=120.01
Sites, in units of the cell vectors:
1 Mg 0.000 0.500 0.000
2 Mg 0.500 0.000 0.000
3 Mg 0.500 0.500 0.000
4 I 0.255 0.510 0.221
5 I 0.745 0.029 0.779
6 I 0.284 0.029 0.779
7 I 0.262 0.524 0.790
8 I 0.716 0.971 0.221
9 I 0.255 0.971 0.221
10 I 0.745 0.490 0.779
11 I 0.738 0.476 0.210
12 Sr 0.000 0.000 0.000

***

(2)
A plane-wave DFT calculation with PBE was carried out for an optimized crystal structure of Sr3MgI8.

Its total DFT energy (no corrections) is -3.096 eV/atom. As for the uncorrected formation energy: -146 kJ/mol of atoms.

Unit cell a=8.263 b=8.263 c=9.181 alpha=90.00 beta=90.00 gamma=110.88
Sites, in units of the cell vectors:
1 I 0.262 0.277 0.272
2 I 0.283 0.717 0.500
3 I 0.717 0.283 0.500
4 I 0.743 0.257 0.000
5 I 0.277 0.262 0.728
6 I 0.257 0.743 0.000
7 I 0.723 0.738 0.728
8 I 0.738 0.723 0.272
9 Mg 0.500 0.500 0.500
10 Sr 0.500 0.500 0.000
11 Sr 0.000 0.500 0.254
12 Sr 0.500 0.000 0.746

***

(3)
A plane-wave DFT calculation with PBE was carried out for an optimized crystal structure of Sr2MgI.

Its total DFT energy (no corrections) is -2.160 eV/atom. The energy above the most stable polymorph in this dataset comes out at 27 meV/atom. As for the uncorrected formation energy: -51 kJ/mol of atoms.

Unit cell a=4.362 b=4.362 c=10.294 alpha=77.77 beta=77.77 gamma=60.00
Sites, in units of the cell vectors:
1 Mg 0.667 0.667 0.999
2 I 0.499 0.499 0.502
3 Sr 0.082 0.082 0.753
4 Sr 0.251 0.251 0.246

***

(4)
A plane-wave DFT calculation with PBE was carried out for an optimized crystal structure of Sr2MgI.

Its total DFT energy (no corrections) is -1.976 eV/atom. The energy above the most stable polymorph in this dataset comes out at 212 meV/atom. As for the uncorrected formation energy: -34 kJ/mol of atoms.

Unit cell a=6.086 b=6.086 c=6.086 alpha=60.00 beta=60.00 gamma=60.00
Sites, in units of the cell vectors:
1 Sr 0.750 0.750 0.750
2 Sr 0.250 0.250 0.250
3 I 0.500 0.500 0.500
4 Mg 0.000 0.000 0.000

***

(5)
A plane-wave DFT calculation with PBE was carried out for an optimized crystal structure of Sr2MgI.

Its total DFT energy (no corrections) is -1.989 eV/atom. The energy above the most stable polymorph in this dataset comes out at 199 meV/atom. As for the uncorrected formation energy: -35 kJ/mol of atoms.

Unit cell a=9.180 b=9.180 c=7.756 alpha=53.71 beta=53.71 gamma=90.00
Sites, in units of the cell vectors:
1 I 0.000 0.000 0.000
2 I 0.750 0.250 0.500
3 Sr 0.116 0.625 0.250
4 Sr 0.634 0.125 0.250
5 Sr 0.375 0.366 0.750
6 Sr 0.875 0.884 0.750
7 Mg 0.500 0.500 0.000
8 Mg 0.250 0.750 0.500

***

(6)
A plane-wave DFT calculation with PBE was carried out for an optimized crystal structure of Sr2Mg2I.

Its total DFT energy (no corrections) is -1.920 eV/atom. The energy above the most stable polymorph in this dataset comes out at 33 meV/atom. As for the uncorrected formation energy: -29 kJ/mol of atoms.

Unit cell a=9.151 b=9.151 c=4.935 alpha=90.00 beta=90.00 gamma=90.00
Sites, in units of the cell vectors:
1 Sr 0.174 0.326 0.000
2 Sr 0.674 0.174 0.000
3 Sr 0.326 0.826 0.000
4 Sr 0.826 0.674 0.000
5 Mg 0.615 0.885 0.500
6 Mg 0.885 0.385 0.500
7 Mg 0.115 0.615 0.500
8 Mg 0.385 0.115 0.500
9 I 0.000 0.000 0.000
10 I 0.500 0.500 0.000

***

(7)
A plane-wave DFT calculation with PBE was carried out for an optimized crystal structure of Sr2Mg2I.

Its total DFT energy (no corrections) is -1.953 eV/atom. The energy above the most stable polymorph in this dataset comes out at 0 meV/atom. As for the uncorrected formation energy: -32 kJ/mol of atoms.

Unit cell a=4.263 b=4.263 c=10.793 alpha=78.61 beta=78.61 gamma=90.00
Sites, in units of the cell vectors:
1 I 0.000 0.000 0.000
2 Sr 0.390 0.390 0.221
3 Sr 0.610 0.610 0.779
4 Mg 0.750 0.250 0.500
5 Mg 0.250 0.750 0.500

***

(8)
A plane-wave DFT calculation with PBE was carried out for an optimized crystal structure of SrMgTe2I.

Its total DFT energy (no corrections) is -2.369 eV/atom. The energy above the most stable polymorph in this dataset comes out at 660 meV/atom. As for the uncorrected formation energy: -14 kJ/mol of atoms.

Unit cell a=6.230 b=6.230 c=6.142 alpha=90.00 beta=90.00 gamma=90.00
Sites, in units of the cell vectors:
1 Mg 0.500 0.500 0.500
2 I 0.000 0.000 0.500
3 Sr 0.000 0.000 0.000
4 Te 0.500 0.000 0.000
5 Te 0.000 0.500 0.000

***

(9)
A plane-wave DFT calculation with PBE was carried out for an optimized crystal structure of SrMgTe2I.

Its total DFT energy (no corrections) is -3.029 eV/atom. The energy above the most stable polymorph in this dataset comes out at 0 meV/atom. As for the uncorrected formation energy: -78 kJ/mol of atoms.

Unit cell a=5.505 b=5.505 c=5.900 alpha=90.00 beta=90.00 gamma=90.00
Sites, in units of the cell vectors:
1 I 0.000 0.000 0.500
2 Te 0.500 0.000 0.000
3 Te 0.000 0.500 0.000
4 Sr 0.500 0.500 0.500
5 Mg 0.000 0.000 0.000

***

(10)
A plane-wave DFT calculation with PBE was carried out for an optimized crystal structure of MgTaI3.

Its total DFT energy (no corrections) is -3.349 eV/atom. The energy above the most stable polymorph in this dataset comes out at 0 meV/atom. As for the uncorrected formation energy: 26 kJ/mol of atoms.

Unit cell a=5.582 b=5.582 c=5.582 alpha=90.00 beta=90.00 gamma=90.00
Sites, in units of the cell vectors:
1 I 0.500 0.000 0.000
2 I 0.000 0.500 0.000
3 I 0.000 0.000 0.500
4 Ta 0.000 0.000 0.000
5 Mg 0.500 0.500 0.500

***

(11)
A plane-wave DFT calculation with PBE was carried out for an optimized crystal structure of MgTaI3.

Its total DFT energy (no corrections) is -2.929 eV/atom. The energy above the most stable polymorph in this dataset comes out at 420 meV/atom. As for the uncorrected formation energy: 67 kJ/mol of atoms.

Unit cell a=5.624 b=5.624 c=5.624 alpha=90.00 beta=90.00 gamma=90.00
Sites, in units of the cell vectors:
1 Ta 0.500 0.500 0.500
2 Mg 0.000 0.000 0.000
3 I 0.000 0.000 0.500
4 I 0.500 0.000 0.000
5 I 0.000 0.500 0.000

***

(12)
A plane-wave DFT calculation with PBE was carried out for an optimized crystal structure of MgTa2I.

Its total DFT energy (no corrections) is -5.926 eV/atom. The energy above the most stable polymorph in this dataset comes out at 0 meV/atom. As for the uncorrected formation energy: 76 kJ/mol of atoms.

Unit cell a=4.061 b=4.061 c=10.893 alpha=79.26 beta=79.26 gamma=90.00
Sites, in units of the cell vectors:
1 Ta 0.615 0.125 0.250
2 Ta 0.135 0.625 0.250
3 Ta 0.875 0.865 0.750
4 Ta 0.375 0.385 0.750
5 Mg 0.250 0.750 0.500
6 Mg 0.500 0.500 0.000
7 I 0.750 0.250 0.500
8 I 0.000 0.000 0.000

***

Which formula does entry 12 have?
MgTa2I

***

total DFT energy (no corrections) of number 12 (MgTa2I)?
-5.926 eV/atom

***

Among the records above, which one has the highest total DFT energy (no corrections)?
number 6

***

Please write out number 3 again, unchanged.
A plane-wave DFT calculation with PBE was carried out for an optimized crystal structure of Sr2MgI.

Its total DFT energy (no corrections) is -2.160 eV/atom. The energy above the most stable polymorph in this dataset comes out at 27 meV/atom. As for the uncorrected formation energy: -51 kJ/mol of atoms.

Unit cell a=4.362 b=4.362 c=10.294 alpha=77.77 beta=77.77 gamma=60.00
Sites, in units of the cell vectors:
1 Mg 0.667 0.667 0.999
2 I 0.499 0.499 0.502
3 Sr 0.082 0.082 0.753
4 Sr 0.251 0.251 0.246